B2Se2I: optimized geometry, PBE.

abc: 8.8093 8.8093 8.8093
angles: 158.89 152.67 34.79
Fractional coordinates of all 5 atoms:
B 0.2380 0.2380 0.0000
B 0.7620 0.7620 0.0000
Se 0.3180 0.8180 0.5000
Se 0.6820 0.1820 0.5000
I 0.0000 0.5000 0.5000

Output
Total moment, μB/cell: 0.00
Symmetry: No. 71
E, eV/atom: -3.8517